Record 1
HfNpAs2N: optimized geometry, PBE.

POSCAR file:
```
HfNpAs2N
1.0
-3.424 -0.486 -1.525
-0.555 -3.017 2.208
-5.219 7.734 9.254
Hf Np As N
2 2 4 2
Cartesian
-2.202 0.482 0.105
-5.007 5.500 9.490
-4.789 4.317 4.694
-2.419 1.665 4.901
-3.933 3.908 7.585
-0.898 -0.589 2.205
-6.310 6.571 7.391
-3.276 2.074 2.010
-2.609 3.867 4.627
-4.599 2.115 4.969
```

**Calculated total energy**: -89.80 eV/cell
**SG**: P4/nmm


Record 2
SnAsSe2: optimized geometry, PBE.

POSCAR file:
```
SnAsSe2
1.0
5.445 0.000 0.000
0.000 5.445 0.000
2.722 2.722 7.958
As Sn Se
2 2 4
Cartesian
2.722 2.722 0.000
2.722 5.445 3.979
0.000 0.000 0.000
5.445 2.722 3.979
3.898 1.361 1.989
1.547 4.084 1.989
4.084 4.269 5.968
6.806 6.621 5.968
```

**Calculated total energy**: -31.00 eV/cell
**SG**: I-42d


Record 3
Nd4SnTeSe2: optimized geometry, PBE.

POSCAR file:
```
Nd4SnTeSe2
1.0
4.378 0.000 0.000
0.000 7.571 -0.143
0.000 2.672 7.136
Nd Sn Te Se
4 1 1 2
Cartesian
0.000 7.773 5.249
4.378 2.470 1.743
2.189 6.441 1.575
2.189 3.802 5.417
2.189 3.786 -0.072
0.000 5.121 3.496
0.000 2.672 7.136
2.189 1.336 3.568
```

**Calculated total energy**: -45.03 eV/cell
**SG**: P2/m


Record 4
Cr4ReOs: optimized geometry, PBE.

POSCAR file:
```
Cr4ReOs
1.0
-0.878 3.878 2.569
-2.723 3.445 -1.770
-4.330 0.739 1.767
Cr Os Re
4 1 1
Cartesian
-3.593 3.312 2.495
-4.521 3.094 0.314
-4.962 5.044 1.606
-2.786 4.673 0.717
-1.983 2.016 0.642
0.000 0.000 0.000
```

**Calculated total energy**: -62.14 eV/cell
**SG**: F-43m
**DFT formation energy**: 0.005 eV/atom


Record 5
Cs2BiPtF6: optimized geometry, PBE.

POSCAR file:
```
Cs2BiPtF6
1.0
-5.884 -2.179 0.929
0.955 -4.460 -4.408
-0.524 -6.856 2.259
Cs Bi Pt F
2 1 1 6
Cartesian
-4.436 -6.177 0.725
-1.016 -7.317 -1.944
0.000 0.000 0.000
-2.464 -3.319 -1.739
-1.294 -5.452 0.672
-4.158 -8.043 -1.891
-1.255 -1.690 -0.885
-3.674 -4.949 -2.593
-4.143 -2.759 -0.429
-0.786 -3.879 -3.050
```

**Calculated total energy**: -43.25 eV/cell
**SG**: I4/mmm


Record 6
Ba2Al4Si3Ag: optimized geometry, PBE.

POSCAR file:
```
Ba2Al4Si3Ag
1.0
-1.326 -1.798 -4.025
-0.983 -3.977 2.100
-9.835 3.351 1.743
Ba Al Si Ag
2 4 3 1
Cartesian
-3.132 -0.058 -1.575
-7.857 0.522 2.355
-1.154 -2.887 -0.962
0.000 0.000 0.000
-6.798 1.191 -0.925
-4.191 -0.728 1.706
-4.917 1.676 0.871
-9.295 2.042 -0.483
-1.694 -1.579 1.263
-6.072 -1.212 -0.091
```

**Calculated total energy**: -40.30 eV/cell
**SG**: P-4m2


Record 7
NbPdI: optimized geometry, PBE.

POSCAR file:
```
NbPdI
1.0
3.240 0.000 0.000
0.000 3.240 0.000
0.000 0.000 6.326
Nb Pd I
1 1 1
Cartesian
1.620 1.620 0.604
0.000 0.000 5.240
0.000 0.000 2.380
```

**Calculated total energy**: -16.20 eV/cell
**SG**: P4mm


Record 8
La2Nd5Dy12: optimized geometry, PBE.

POSCAR file:
```
La2Nd5Dy12
1.0
6.857 0.245 -0.125
-3.178 10.552 -10.399
0.172 -6.464 15.033
La Nd Dy
2 5 12
Cartesian
2.195 3.882 4.822
1.658 0.451 -0.314
0.210 1.753 2.673
3.832 -2.101 5.986
0.086 -3.232 7.516
0.020 6.434 -1.478
3.643 2.580 1.836
3.150 9.190 -6.826
-0.915 -0.026 8.554
2.731 -0.475 8.610
-0.810 3.076 -0.763
2.631 3.888 -1.335
1.025 5.131 1.641
2.828 -0.798 2.868
4.662 1.257 5.271
1.222 0.445 5.844
4.767 4.359 -4.046
1.121 4.809 -4.101
0.702 -4.857 11.334
```

**Calculated total energy**: -87.10 eV/cell
**SG**: P-1
**DFT formation energy**: 0.096 eV/atom


Record 9
LiAcMn2Se4: optimized geometry, PBE.

POSCAR file:
```
LiAcMn2Se4
1.0
-0.465 3.555 -2.116
-5.123 -4.346 -2.080
-7.819 4.653 9.533
Li Ac Mn Se
2 2 4 8
Cartesian
-9.828 3.478 3.905
-3.578 0.385 1.432
-7.133 2.881 6.406
-6.273 0.981 -1.070
-8.364 0.661 2.946
-2.008 1.396 -1.309
-5.042 3.202 2.390
-11.398 2.466 6.645
-3.767 -0.885 -0.660
-7.445 3.441 3.320
-9.640 4.747 5.996
-5.961 0.421 2.016
-3.909 2.327 4.767
0.000 0.000 0.000
-10.624 1.207 4.360
-2.783 2.655 0.976
```

**Calculated total energy**: -92.80 eV/cell
**SG**: Cmcm


Record 10
Ni2Pt4Rh: optimized geometry, PBE.

POSCAR file:
```
Ni2Pt4Rh
1.0
6.500 -0.010 0.017
-2.175 6.125 -0.017
-2.150 -3.066 5.312
Ni Pt Rh
4 8 2
Cartesian
4.392 -0.813 2.605
1.143 0.449 3.322
-1.130 3.093 4.040
-0.055 3.369 0.658
-1.921 4.468 2.040
1.193 2.971 2.848
3.504 1.337 3.796
-0.548 -1.090 4.588
2.268 4.461 0.167
2.702 -1.139 4.571
2.376 -0.202 1.165
-0.874 1.391 2.073
0.000 0.000 0.000
3.250 2.289 1.332
```

**Calculated total energy**: -82.96 eV/cell
**SG**: I-42d
**DFT formation energy**: 0.228 eV/atom


Record 11
K4Zr3NpSe8: optimized geometry, PBE.

POSCAR file:
```
K4Zr3NpSe8
1.0
-7.136 -0.630 3.536
-3.840 -1.609 -8.037
5.946 -4.899 2.102
K Zr Np Se
4 3 1 8
Cartesian
-3.568 -0.315 1.768
-0.595 -2.765 2.819
0.000 0.000 0.000
2.973 -2.449 1.051
-5.488 -1.119 -2.251
-2.515 -3.569 -1.199
1.053 -3.254 -2.967
-1.920 -0.804 -4.018
1.306 -6.014 -2.791
-1.563 -3.649 -3.805
0.119 -3.252 -0.338
-2.138 -6.318 -1.085
-2.892 -0.820 -1.314
-5.150 -3.885 -2.060
-3.467 -3.488 1.406
-6.336 -1.124 0.392
```

**Calculated total energy**: -91.84 eV/cell
**SG**: R-3m


Record 12
CeSm2Pb: optimized geometry, PBE.

POSCAR file:
```
CeSm2Pb
1.0
-2.922 2.083 0.284
-2.445 0.041 -2.642
-7.293 -7.690 4.178
Ce Sm Pb
1 2 1
Cartesian
-6.333 -2.789 0.913
-5.960 -5.657 2.976
-3.116 -1.318 0.411
-3.579 1.414 -1.570
```

**Calculated total energy**: -19.48 eV/cell
**SG**: R3m
**DFT formation energy**: -0.100 eV/atom


Record 13
TlRuPt2: optimized geometry, PBE.

POSCAR file:
```
TlRuPt2
1.0
3.950 0.000 0.000
0.000 3.954 0.000
0.000 0.000 4.290
Pt Ru Tl
2 1 1
Cartesian
0.000 0.000 0.000
1.975 1.977 0.000
1.975 0.000 2.145
0.000 1.977 2.145
```

**Calculated total energy**: -22.83 eV/cell
**SG**: P4/mmm
**DFT formation energy**: 0.222 eV/atom


Record 14
TcTeOs2: optimized geometry, PBE.

POSCAR file:
```
TcTeOs2
1.0
-1.326 -1.935 1.775
0.372 -2.693 -2.658
5.192 -1.500 2.246
Os Tc Te
2 1 1
Cartesian
0.134 -0.039 0.058
2.462 -0.711 1.065
0.821 -2.689 0.120
3.417 -3.439 1.243
```

**Calculated total energy**: -33.26 eV/cell
**SG**: Pmmm


Record 15
Tl2InAu: optimized geometry, PBE.

POSCAR file:
```
Tl2InAu
1.0
-2.104 -1.931 -3.838
1.684 -4.075 -1.854
-3.600 -5.047 1.531
Tl In Au
2 1 1
Cartesian
-2.522 -6.984 -4.047
-1.209 -3.948 -3.314
-3.406 -5.889 -1.132
-2.046 -8.361 -0.634
```

**Calculated total energy**: -10.91 eV/cell
**SG**: Cm
**DFT formation energy**: -0.039 eV/atom


Record 16
NdZnPSe: optimized geometry, PBE.

POSCAR file:
```
NdZnPSe
1.0
-1.366 1.752 3.544
-2.450 -2.175 2.600
9.928 -4.826 8.681
Nd Zn P Se
2 2 2 2
Cartesian
7.050 -3.623 6.976
-0.938 -1.627 7.848
6.637 -4.796 12.334
-0.525 -0.454 2.490
-1.261 -0.819 4.855
7.374 -4.431 9.969
3.310 -3.404 10.363
2.803 -1.846 4.461
```

**Calculated total energy**: -38.25 eV/cell
**SG**: R-3m


Record 17
YZr2Os: optimized geometry, PBE.

POSCAR file:
```
YZr2Os
1.0
-1.413 -2.996 0.992
2.284 0.358 4.335
-3.882 2.442 1.844
Os Y Zr
1 1 2
Cartesian
-2.647 -0.277 1.418
-0.799 1.400 3.089
0.000 0.000 0.000
0.435 -1.319 2.664
```

**Calculated total energy**: -34.52 eV/cell
**SG**: Pmmm
**DFT formation energy**: 0.068 eV/atom


Record 18
GeMoPS2: optimized geometry, PBE.

POSCAR file:
```
GeMoPS2
1.0
-0.726 -4.487 0.633
4.170 -0.912 -1.686
1.927 0.335 4.586
S P Mo Ge
2 1 1 1
Cartesian
2.085 -0.456 -0.843
-0.363 -2.244 0.317
0.964 0.168 2.293
0.000 0.000 0.000
2.686 -2.532 1.766
```

**Calculated total energy**: -27.38 eV/cell
**SG**: P4/mmm


Record 19
SmDy3Ho7: optimized geometry, PBE.

POSCAR file:
```
SmDy3Ho7
1.0
8.564 0.000 0.000
0.000 7.022 0.000
0.000 -3.511 6.081
Sm Dy Ho
1 3 7
Cartesian
3.822 0.000 4.054
6.715 1.759 3.038
6.715 3.511 0.004
6.715 5.263 3.038
1.001 -1.745 5.061
1.001 0.000 2.039
1.026 3.511 2.027
3.842 5.254 1.020
3.842 1.767 1.020
3.842 3.511 4.040
1.001 1.745 5.061
```

**Calculated total energy**: -48.44 eV/cell
**SG**: P3m1
**DFT formation energy**: 0.193 eV/atom


Record 20
Ca3PmMg4: optimized geometry, PBE.

POSCAR file:
```
Ca3PmMg4
1.0
3.873 0.000 0.000
0.000 3.873 0.000
0.000 0.000 16.328
Ca Mg Pm
3 4 1
Cartesian
1.936 1.936 4.024
1.936 1.936 8.164
1.936 1.936 12.304
0.000 0.000 14.375
0.000 0.000 1.953
0.000 0.000 6.104
0.000 0.000 10.223
1.936 1.936 0.000
```

**Calculated total energy**: -17.78 eV/cell
**SG**: P4/mmm
**DFT formation energy**: -0.081 eV/atom